A plane-wave DFT calculation with PBE was carried out for an optimized crystal structure of ZrAuSe2N.

POSCAR file:
```
ZrAuSe2N
1.0
-0.034 -2.130 4.770
5.114 0.961 0.466
-0.774 3.386 1.506
Au Se Zr N
1 2 1 1
direct
0.000 0.000 0.000
0.000 0.500 0.000
0.500 0.000 0.000
0.500 0.500 0.500
0.000 0.000 0.500
```

The crystal system is tetragonal. For the total magnetic moment, the calculation gives 0.000 μB per atom. Its energy relative to the elements, uncorrected is 0.71 eV/atom. The energy above the most stable polymorph in this dataset comes out at 0.493 eV per atom.